Entry from Alexandria via LeMat-Bulk: BaC after structural relaxation (PBE).

Summary:
The energy of formation from the pure elements comes out at 1.62 eV/atom. For the energy, the calculation gives -3.95 eV/atom.

a = 7.996 Å, b = 7.996 Å, c = 7.996 Å
α = 90.00°, β = 90.00°, γ = 90.00°
Space group Pm-3n (No. 223)
Unique sites:
Ba 0.000 0.250 0.500
C 0.000 0.500 0.250

Entry from Alexandria via LeMat-Bulk: Ba2C3 after structural relaxation (PBE).

Summary:
The energy of formation from the pure elements comes out at 0.16 eV/atom. For the energy, the calculation gives -6.14 eV/atom.

a = 12.942 Å, b = 16.072 Å, c = 4.467 Å
α = 90.00°, β = 90.00°, γ = 90.00°
Space group Fdd2 (No. 43)
Unique sites:
Ba 0.052 0.338 0.000
C 0.000 0.000 0.253
C 0.103 0.003 0.266

Entry from Alexandria via LeMat-Bulk: BaC after structural relaxation (PBE).

Summary:
The energy of formation from the pure elements comes out at 1.50 eV/atom. For the energy, the calculation gives -4.08 eV/atom.

a = 4.928 Å, b = 4.952 Å, c = 3.901 Å
α = 90.00°, β = 90.00°, γ = 90.00°
Space group Pmmn (No. 59, origin choice 2)
Unique sites:
Ba 0.250 0.250 0.132
C 0.250 0.750 0.498

Entry from Alexandria via LeMat-Bulk: BaC2 after structural relaxation (PBE).

Summary:
The energy of formation from the pure elements comes out at 2.94 eV/atom. For the energy, the calculation gives -3.85 eV/atom.

a = 6.427 Å, b = 6.427 Å, c = 6.427 Å
α = 90.00°, β = 90.00°, γ = 90.00°
Space group Fm-3m (No. 225)
Unique sites:
Ba 0.000 0.000 0.000
C 0.250 0.250 0.250

Entry from Alexandria via LeMat-Bulk: BaC4 after structural relaxation (PBE).

Summary:
The energy of formation from the pure elements comes out at 4.90 eV/atom. For the energy, the calculation gives -2.86 eV/atom.

a = 5.796 Å, b = 5.796 Å, c = 5.796 Å
α = 90.00°, β = 90.00°, γ = 90.00°
Space group Pm-3m (No. 221)
Unique sites:
Ba 0.000 0.000 0.000
C 0.000 0.000 0.500
C 0.500 0.500 0.500

Entry from Alexandria via LeMat-Bulk: BaC after structural relaxation (PBE).

Summary:
The energy of formation from the pure elements comes out at 1.81 eV/atom. For the energy, the calculation gives -3.76 eV/atom.

a = 3.864 Å, b = 3.864 Å, c = 5.235 Å
α = 90.00°, β = 90.00°, γ = 90.00°
Space group P4/mmm (No. 123)
Unique sites:
Ba 0.000 0.000 0.000
C 0.500 0.500 0.000

no.,M_tot (μB per cell)
1,12.01
2,0.00
3,1.77
4,0.00
5,10.00
6,0.66